VASP calculation (GGA-PBE) on an optimized crystal structure of As2RuF2.

Structure (POSCAR):
```
As2RuF2
1.0
7.338 0.000 0.000
0.000 7.338 0.000
0.000 0.000 2.625
As Ru F
4 2 4
direct
0.226 0.274 0.000
0.274 0.774 0.000
0.726 0.226 0.000
0.774 0.726 0.000
0.000 0.000 0.500
0.500 0.500 0.500
0.111 0.611 0.500
0.389 0.111 0.500
0.611 0.889 0.500
0.889 0.389 0.500
```

The value obtained for the relative energy among the computed polymorphs is 0 meV per atom. As for the total energy: -0.35140 Ry per atom. The calculation puts the uncorrected formation energy at -7.32 kcal/mol of atoms. As for the space group: P4/mbm (127).